No. 1
A geometry-optimized CdTeCl2 structure. Source: Alexandria, functional PBE.

Structure (POSCAR):
```
CdTeCl2
1.0
2.0517 0.0000 12.0394
-1.0259 1.7768 12.0394
-1.0259 -1.7768 12.0394
Cl Cd Te
2 1 1
Direct
0.9372 0.9372 0.9372
0.0628 0.0628 0.0628
0.0000 0.0000 0.0000
0.5000 0.5000 0.5000
```

Summary:
ΔE_f (raw) ... -0.54 eV/f.u.
Crystal system ... trigonal
Space group ... R-3m (166)
Excess energy over the best structure of this formula in the dataset ... 406 meV per atom

=====

No. 2
A geometry-optimized RbNaFe3 structure. Source: Alexandria, functional PBE.

Structure (POSCAR):
```
RbNaFe3
1.0
4.9998 0.0000 0.0000
0.0000 4.9998 0.0000
0.0000 0.0000 4.9998
Fe Rb Na
3 1 1
Direct
0.0000 0.0000 0.5000
0.5000 0.0000 0.0000
0.0000 0.5000 0.0000
0.0000 0.0000 0.0000
0.5000 0.5000 0.5000
```

Summary:
ΔE_f ... 234.8 kJ per mole of atoms
Crystal system ... cubic
Space group ... Pm-3m (221)
Excess energy over the best structure of this formula in the dataset ... 572 meV per atom

=====

No. 3
A geometry-optimized Pm3GdCo structure. Source: Alexandria, functional PBE.

Structure (POSCAR):
```
Pm3GdCo
1.0
5.4075 0.0000 0.0000
0.0000 5.4075 0.0000
0.0000 0.0000 5.4075
Gd Pm Co
1 3 1
Direct
0.5000 0.5000 0.5000
0.0000 0.0000 0.5000
0.0000 0.5000 0.0000
0.5000 0.0000 0.0000
0.0000 0.0000 0.0000
```

Summary:
ΔE_f ... 5.4 kJ per mole of atoms
Crystal system ... cubic
Space group ... Pm-3m (221)

=====

| no. | total DFT energy (no corrections) (eV per cell) | total moment (Bohr magnetons per cell) |
| --- | --- | --- |
| 1 | -8.29 | 0.39 |
| 2 | -15.51 | 8.16 |
| 3 | -35.16 | 8.38 |